[1]
Entry from Alexandria: crystalline Sr2MnTcO6 at its relaxed geometry (GGA+U).

Total DFT energy (no corrections)   -7.2343 eV/atom
Total magnetization   0.40 μB/atom

a b c (Å): 5.695 5.718 9.850
angles (deg): 90.00 125.17 90.00
Fractional positions:
Sr 0.245 0.030 0.250
Sr 0.245 0.470 0.750
Sr 0.755 0.530 0.250
Sr 0.755 0.970 0.750
Mn 0.500 0.000 0.000
Mn 0.500 0.500 0.500
Tc 0.000 0.000 0.500
Tc 0.000 0.500 0.000
O 0.169 0.230 0.966
O 0.169 0.270 0.466
O 0.237 0.705 0.968
O 0.237 0.795 0.468
O 0.300 0.012 0.737
O 0.300 0.488 0.237
O 0.700 0.512 0.763
O 0.700 0.988 0.263
O 0.763 0.205 0.532
O 0.763 0.295 0.032
O 0.831 0.730 0.534
O 0.831 0.770 0.034

---

[2]
Entry from Alexandria: crystalline SrMn2TeO8 at its relaxed geometry (GGA+U).

Total DFT energy (no corrections)   -6.2962 eV/atom
Total magnetization   0.50 μB/atom

a b c (Å): 4.746 5.002 6.992
angles (deg): 77.03 80.12 78.31
Fractional positions:
Sr 0.000 0.000 0.000
Mn 0.450 0.455 0.226
Mn 0.550 0.545 0.774
Te 0.000 0.000 0.500
O 0.173 0.736 0.728
O 0.228 0.792 0.302
O 0.284 0.236 0.458
O 0.420 0.288 0.015
O 0.580 0.712 0.985
O 0.716 0.764 0.542
O 0.772 0.208 0.698
O 0.827 0.264 0.272

---

[3]
Entry from Alexandria: crystalline SrMnTeO2 at its relaxed geometry (GGA+U).

Total DFT energy (no corrections)   -4.7993 eV/atom
Total magnetization   0.80 μB/atom

a b c (Å): 4.476 4.476 5.081
angles (deg): 90.00 90.00 90.00
Fractional positions:
Sr 0.000 0.000 0.000
Mn 0.500 0.500 0.000
Te 0.500 0.500 0.500
O 0.000 0.500 0.500
O 0.500 0.000 0.500

---

[4]
Entry from Alexandria: crystalline Sr3MnTe2O9 at its relaxed geometry (GGA+U).

Total DFT energy (no corrections)   -6.1631 eV/atom
Total magnetization   0.32 μB/atom

a b c (Å): 5.867 5.867 7.185
angles (deg): 90.00 90.00 120.00
Fractional positions:
Sr 0.000 0.000 0.000
Sr 0.333 0.667 0.660
Sr 0.667 0.333 0.340
Mn 0.000 0.000 0.500
Te 0.333 0.667 0.177
Te 0.667 0.333 0.823
O 0.000 0.500 0.000
O 0.172 0.345 0.331
O 0.172 0.828 0.331
O 0.345 0.172 0.669
O 0.500 0.000 0.000
O 0.500 0.500 0.000
O 0.655 0.828 0.331
O 0.828 0.172 0.669
O 0.828 0.655 0.669

---

| no. | calculated density (g/cm3) |
| --- | --- |
| 1 | 5.373 |
| 2 | 4.793 |
| 3 | 4.929 |
| 4 | 5.558 |